## BaNd2Cd2In2 (PBE-GGA)

Data for a relaxed BaNd2Cd2In2 crystal.

Properties
The space group is R-3m. The calculation puts the total energy at -3.01 eV/atom. The density is 6.47 g/cm³. The calculation puts the total magnetization at 0.000 μB per formula unit. The value obtained for the volume is 226 Å³ per cell.

Cell lengths 5.0752, 5.0752, 10.5499 Å; angles 76.08, 76.08, 60.00 degrees
With the nearest neighbours (Å) after each atom.
Fractional coordinates of all 7 atoms:
Ba1 0.0000 0.0000 0.0000  6 In 3.87, 6 Cd 3.91, 2 Nd 4.00
Nd1 0.1316 0.1316 0.6051  3 Cd 3.26, 4 In 3.28-3.60, 3 Nd 3.62
Nd2 0.8684 0.8684 0.3949  3 Cd 3.26, 4 In 3.28-3.60, 3 Nd 3.62
Cd1 0.4183 0.4183 0.7451  3 In 2.93, 3 Nd 3.26
Cd2 0.5817 0.5817 0.2549  3 In 2.93, 3 Nd 3.26
In1 0.2502 0.2502 0.2495  3 Cd 2.93, 3 Nd 3.28
In2 0.7498 0.7498 0.7505  3 Cd 2.93, 3 Nd 3.28